# NaYOsO6 GGA-PBE relaxed
# Magnetization ... 0.00 μB/f.u.
# DFT total energy ... -64.33 eV/cell
# Formation energy (no corrections) ... -15.56 eV/f.u.
data_NaYOsO6
_cell_length_a 5.5636
_cell_length_b 5.5636
_cell_length_c 4.9803
_cell_angle_alpha 90.00
_cell_angle_beta 90.00
_cell_angle_gamma 120.00
_symmetry_space_group_name_H-M 'P 3 1 2'
_symmetry_Int_Tables_number 149
_symmetry_space_group_name_Hall 'P 3 2'
loop_
_atom_site_label
_atom_site_type_symbol
_atom_site_fract_x
_atom_site_fract_y
_atom_site_fract_z
Na1 Na 0.0000 0.0000 0.0000
Y1 Y 0.3333 0.6667 0.5000
Os1 Os 0.6667 0.3333 0.5000
O1 O 0.3950 0.0500 0.7147